Entry 1:
Density functional theory data (PBE) for a geometry-optimized Na2CaHg7 structure.

Results
crystal system	trigonal
ρ	9.06	Mg/m³
space group	P3m1
energy of formation from the pure elements	-0.207	eV/atom

Lattice parameters (Å, degrees): 5.066 5.066 12.282 90.00 90.00 120.00
Positions (direct):
Na 0.667 0.333 0.277
Na 0.333 0.667 0.646
Ca 0.000 0.000 0.006
Hg 0.333 0.667 0.385
Hg 0.333 0.667 0.147
Hg 0.000 0.000 0.464
Hg 0.000 0.000 0.737
Hg 0.667 0.333 0.569
Hg 0.667 0.333 0.851
Hg 0.333 0.667 0.902

Entry 2:
Density functional theory data (PBE) for a geometry-optimized Na12CaHg6 structure.

Results
crystal system	trigonal
ρ	4.23	Mg/m³
offset from the most stable computed form	0.083	eV/atom
space group	R-3
energy of formation from the pure elements	-0.090	eV/atom

Lattice parameters (Å, degrees): 9.017 9.017 9.017 107.83 107.83 107.83
Positions (direct):
Na 0.942 0.663 0.590
Na 0.590 0.942 0.663
Na 0.663 0.590 0.942
Na 0.058 0.337 0.410
Na 0.410 0.058 0.337
Na 0.337 0.410 0.058
Na 0.035 0.857 0.351
Na 0.143 0.649 0.965
Na 0.649 0.965 0.143
Na 0.965 0.143 0.649
Na 0.857 0.351 0.035
Na 0.351 0.035 0.857
Ca 0.000 0.000 0.000
Hg 0.662 0.745 0.359
Hg 0.641 0.338 0.255
Hg 0.255 0.641 0.338
Hg 0.338 0.255 0.641
Hg 0.359 0.662 0.745
Hg 0.745 0.359 0.662

Entry 3:
Density functional theory data (PBE) for a geometry-optimized Na2CaHg9 structure.

Results
crystal system	tetragonal
ρ	10.12	Mg/m³
space group	P4/mmm
energy of formation from the pure elements	-0.242	eV/atom

Lattice parameters (Å, degrees): 4.690 4.690 14.101 90.00 90.00 90.00
Positions (direct):
Na 0.000 0.000 0.334
Na 0.000 0.000 0.666
Ca 0.000 0.000 0.000
Hg 0.500 0.500 0.000
Hg 0.500 0.500 0.331
Hg 0.500 0.500 0.669
Hg 0.500 0.000 0.168
Hg 0.500 0.000 0.500
Hg 0.500 0.000 0.832
Hg 0.000 0.500 0.168
Hg 0.000 0.500 0.500
Hg 0.000 0.500 0.832

What is the formula in the second record?
Na12CaHg6

Number 1 is which compound?
Na2CaHg7

Which of these has the highest energy of formation from the pure elements?
Na12CaHg6